# PBE HoTh3Sc6, relaxed
# **Symmetry**: P1, No. 1
# **E above lowest polymorph**: 0 meV/atom
# **Total moment**: 0.00 μB/cell
# **Energy relative to the elements**: 2.14 kcal/mol of atoms
# **VASP energy**: -0.23482 hartree per atom
data_HoTh3Sc6
_chemical_formula_sum 'Ho1 Th3 Sc6'
_space_group_name_H-M_alt 'P 1'
_space_group_IT_number 1
_cell_length_a 5.395
_cell_length_b 5.866
_cell_length_c 9.263
_cell_angle_alpha 86.90
_cell_angle_beta 73.09
_cell_angle_gamma 89.92
loop_
_space_group_symop_operation_xyz
'x,y,z'
loop_
_atom_site_label
_atom_site_fract_x
_atom_site_fract_y
_atom_site_fract_z
Ho1 0.000 0.000 0.000
Th1 0.300 0.570 0.400
Th2 0.394 0.114 0.212
Th3 0.697 0.696 0.607
Sc1 0.099 0.515 0.802
Sc2 0.190 0.037 0.620
Sc3 0.504 0.644 0.992
Sc4 0.594 0.175 0.812
Sc5 0.782 0.182 0.437
Sc6 0.913 0.509 0.176